La2TbNd2Y | PBE | relaxed

M_tot: 0.00 μB per formula unit
V: 34.6 A^3/atom
ΔE_f: 0.048 eV/atom

abc: 5.7805 7.1638 10.0190
angles: 90.00 90.00 90.00
Element x y z (fractional)
La (0.5000, 0.0076, 0.0002)
La (0.0000, 0.2576, 0.1752)
La (0.5000, 0.5076, 0.9998)
La (0.0000, 0.7576, 0.8248)
Tb (0.5000, 0.2576, 0.6579)
Tb (0.5000, 0.7576, 0.3421)
Nd (0.0000, 0.2575, 0.8355)
Nd (0.5000, 0.2577, 0.3316)
Nd (0.0000, 0.7574, 0.1645)
Nd (0.5000, 0.7577, 0.6684)
Y (0.0000, 0.0076, 0.5000)
Y (0.0000, 0.5077, 0.5000)

***

La2Tb3Nd6Y | PBE | relaxed

M_tot: 0.00 μB per formula unit
V: 34.5 A^3/atom
ΔE_f: 0.017 eV/atom

abc: 6.3370 6.3370 12.1012
angles: 95.03 95.03 120.01
Element x y z (fractional)
La (0.3330, 0.6670, 0.0000)
La (0.6670, 0.3330, 0.0000)
Tb (0.1663, 0.8337, 0.5000)
Tb (0.8337, 0.1663, 0.5000)
Tb (0.5000, 0.5000, 0.5000)
Nd (0.9152, 0.5827, 0.7456)
Nd (0.7521, 0.7521, 0.2546)
Nd (0.0848, 0.4173, 0.2544)
Nd (0.5827, 0.9152, 0.7456)
Nd (0.2479, 0.2479, 0.7454)
Nd (0.4173, 0.0848, 0.2544)
Y (0.0000, 0.0000, 0.0000)

***

La2Tb2NdY4 | PBE | relaxed

M_tot: 0.00 μB per formula unit
V: 33.5 A^3/atom
ΔE_f: -0.006 eV/atom

abc: 3.6522 9.6473 9.6818
angles: 115.26 90.00 100.91
Element x y z (fractional)
La (0.3338, 0.6676, 0.0020)
La (0.6662, 0.3324, 0.9980)
Tb (0.8522, 0.7045, 0.3369)
Tb (0.1478, 0.2955, 0.6631)
Nd (0.0000, 0.0000, 0.0000)
Y (0.8140, 0.6279, 0.6627)
Y (0.1860, 0.3721, 0.3373)
Y (0.5200, 0.0400, 0.3378)
Y (0.4800, 0.9600, 0.6622)

***

La2Tb5NdY | PBE | relaxed

M_tot: 0.00 μB per formula unit
V: 33.7 A^3/atom
ΔE_f: 0.250 eV/atom

abc: 8.7228 8.7228 10.0729
angles: 115.66 115.66 90.00
Element x y z (fractional)
La (0.1178, 0.3822, 0.0000)
La (0.6178, 0.1178, 0.0000)
La (0.3822, 0.8822, 0.0000)
La (0.8822, 0.6178, 0.0000)
Tb (0.9243, 0.4243, 0.2818)
Tb (0.6425, 0.1425, 0.7182)
Tb (0.0757, 0.5757, 0.7182)
Tb (0.1425, 0.0757, 0.7182)
Tb (0.5757, 0.6425, 0.7182)
Tb (0.8575, 0.9243, 0.2818)
Tb (0.4243, 0.3575, 0.2818)
Tb (0.3575, 0.8575, 0.2818)
Tb (0.5000, 0.5000, 0.0000)
Tb (0.0000, 0.0000, 0.0000)
Nd (0.2500, 0.2500, 0.5000)
Nd (0.7500, 0.7500, 0.5000)
Y (0.2500, 0.7500, 0.5000)
Y (0.7500, 0.2500, 0.5000)

***

La5TbNdY2 | PBE | relaxed

M_tot: 0.00 μB per formula unit
V: 36.1 A^3/atom
ΔE_f: 0.288 eV/atom

abc: 9.5743 9.5743 9.8036
angles: 119.23 119.23 90.00
Element x y z (fractional)
La (0.9362, 0.4362, 0.2763)
La (0.6599, 0.1599, 0.7237)
La (0.0638, 0.5638, 0.7237)
La (0.1599, 0.0638, 0.7237)
La (0.5638, 0.6599, 0.7237)
La (0.8401, 0.9362, 0.2763)
La (0.4362, 0.3401, 0.2763)
La (0.3401, 0.8401, 0.2763)
La (0.5000, 0.5000, 0.0000)
La (0.0000, 0.0000, 0.0000)
Tb (0.2500, 0.7500, 0.5000)
Tb (0.7500, 0.2500, 0.5000)
Nd (0.2500, 0.2500, 0.5000)
Nd (0.7500, 0.7500, 0.5000)
Y (0.1085, 0.3915, 0.0000)
Y (0.6085, 0.1085, 0.0000)
Y (0.3915, 0.8915, 0.0000)
Y (0.8915, 0.6085, 0.0000)

***

LaTbNdY | PBE | relaxed

Offset from the most stable computed form: 27 kJ/mol of formula units
M_tot: 0.00 μB per formula unit
V: 34.4 A^3/atom
ΔE_f: 0.099 eV/atom

abc: 5.7956 5.7956 5.7956
angles: 60.00 60.00 60.00
Element x y z (fractional)
Y (0.7500, 0.7500, 0.7500)
Nd (0.5000, 0.5000, 0.5000)
Tb (0.2500, 0.2500, 0.2500)
La (0.0000, 0.0000, 0.0000)

***

LaTbNdY2 | PBE | relaxed

M_tot: 0.00 μB per formula unit
V: 35.9 A^3/atom
ΔE_f: 0.244 eV/atom

abc: 5.6418 8.7420 7.2791
angles: 90.07 90.00 90.00
Element x y z (fractional)
La (0.0000, 0.0000, 0.0000)
La (0.0000, 0.0000, 0.5000)
Tb (0.5002, 0.0000, 0.2500)
Tb (0.4998, 0.0000, 0.7500)
Nd (0.0002, 0.5000, 0.7500)
Nd (0.9998, 0.5000, 0.2500)
Y (0.5004, 0.6819, 0.9996)
Y (0.5004, 0.3181, 0.5004)
Y (0.4996, 0.6819, 0.4996)
Y (0.4996, 0.3181, 0.0004)

***

LaTb5NdY2 | PBE | relaxed

M_tot: 0.00 μB per formula unit
V: 33.4 A^3/atom
ΔE_f: 0.282 eV/atom

abc: 8.8079 8.8079 9.9459
angles: 116.28 116.28 90.00
Element x y z (fractional)
La (0.2500, 0.2500, 0.5000)
La (0.7500, 0.7500, 0.5000)
Tb (0.9320, 0.4320, 0.2697)
Tb (0.6623, 0.1623, 0.7303)
Tb (0.0680, 0.5680, 0.7303)
Tb (0.1623, 0.0680, 0.7303)
Tb (0.5680, 0.6623, 0.7303)
Tb (0.8377, 0.9320, 0.2697)
Tb (0.4320, 0.3377, 0.2697)
Tb (0.3377, 0.8377, 0.2697)
Tb (0.5000, 0.5000, 0.0000)
Tb (0.0000, 0.0000, 0.0000)
Nd (0.2500, 0.7500, 0.5000)
Nd (0.7500, 0.2500, 0.5000)
Y (0.1179, 0.3821, 0.0000)
Y (0.6179, 0.1179, 0.0000)
Y (0.3821, 0.8821, 0.0000)
Y (0.8821, 0.6179, 0.0000)